1.
VASP calculation (GGA-PBEsol) on an optimized crystal structure of SrGdFeCoO6.

* formation energy from raw total energies: -2.101 eV/atom
* magnetization: 11.99 μB/f.u.

The structure in CIF format:
```
data_SrGdFeCoO6
_chemical_formula_sum 'Sr4 Gd4 Fe4 Co4 O24'
_space_group_name_H-M_alt 'F -4 3 m'
_space_group_IT_number 216
_space_group_name_Hall 'F -4 2 3'
_cell_length_a 7.5020
_cell_length_b 7.5020
_cell_length_c 7.5020
_cell_angle_alpha 90.00
_cell_angle_beta 90.00
_cell_angle_gamma 90.00
loop_
_atom_site_label
_atom_site_type_symbol
_atom_site_fract_x
_atom_site_fract_y
_atom_site_fract_z
Sr1 Sr 0.0000 0.0000 0.0000
Gd1 Gd 0.0000 0.0000 0.5000
Fe1 Fe 0.2500 0.2500 0.2500
Co1 Co 0.2500 0.2500 0.7500
O1 O 0.0001 0.2500 0.2500
```

---

2.
VASP calculation (GGA-PBEsol) on an optimized crystal structure of FeCoGe3.

* magnetization: 2.60 μB/f.u.

The structure in CIF format:
```
data_FeCoGe3
_chemical_formula_sum 'Fe1 Co1 Ge3'
_space_group_name_H-M_alt 'P m -3 m'
_space_group_IT_number 221
_space_group_name_Hall '-P 4 2 3'
_cell_length_a 4.4273
_cell_length_b 4.4273
_cell_length_c 4.4273
_cell_angle_alpha 90.00
_cell_angle_beta 90.00
_cell_angle_gamma 90.00
loop_
_atom_site_label
_atom_site_type_symbol
_atom_site_fract_x
_atom_site_fract_y
_atom_site_fract_z
Fe1 Fe 0.0000 0.0000 0.0000
Co1 Co 0.5000 0.5000 0.5000
Ge1 Ge 0.0000 0.5000 0.5000
```

---

3.
VASP calculation (GGA-PBEsol) on an optimized crystal structure of FeCoGeSb2.

* formation energy from raw total energies: 1.326 eV/atom
* magnetization: 4.03 μB/f.u.

The structure in CIF format:
```
data_FeCoGeSb2
_chemical_formula_sum 'Fe1 Co1 Ge1 Sb2'
_space_group_name_H-M_alt 'P 4/m m m'
_space_group_IT_number 123
_space_group_name_Hall '-P 4 2'
_cell_length_a 5.1847
_cell_length_b 5.1847
_cell_length_c 4.3129
_cell_angle_alpha 90.00
_cell_angle_beta 90.00
_cell_angle_gamma 90.00
loop_
_atom_site_label
_atom_site_type_symbol
_atom_site_fract_x
_atom_site_fract_y
_atom_site_fract_z
Fe1 Fe 0.0000 0.0000 0.0000
Co1 Co 0.5000 0.5000 0.0000
Ge1 Ge 0.0000 0.0000 0.5000
Sb1 Sb 0.0000 0.5000 0.5000
```

---

no.,calculated density (g/cm3),uncorrected energy (Ry per atom)
1,7.2,-0.6284
2,6.4,-0.4163
3,6.2,-0.3546